[1]
Material: BeAg2Au
Method: DFT, SCAN
State: single point on PBEsol structure

Computed properties:
Formation energy ... -0.45 eV per formula unit
Density of states at the Fermi level ... 0.253 states/eV per atom
Volume ... 58.2 Å³/f.u.
E ... -136.695 eV per cell

Lattice parameters (Å, degrees): 2.890 2.890 6.972 90.00 90.00 90.00
Space group P4mm (No. 99)
Unique sites:
Be (0.000, 0.000, 0.000) (multiplicity 1)
Ag (0.000, 0.000, 0.511) (multiplicity 1)
Ag (0.500, 0.500, 0.222) (multiplicity 1)
Au (0.500, 0.500, 0.810) (multiplicity 1)

=====

[2]
Material: LiZnP2
Method: DFT, SCAN
State: single point on PBEsol structure

Computed properties:
Formation energy ... -0.59 eV per formula unit
Density of states at the Fermi level ... 0.279 states/eV per atom
Volume ... 66.0 Å³/f.u.
E ... -74.576 eV per cell

Lattice parameters (Å, degrees): 3.904 2.514 13.440 90.00 90.00 90.00
Space group Amm2 (No. 38)
Unique sites:
Li (0.000, 0.000, 0.000) (multiplicity 2)
Zn (0.500, 0.000, 0.236) (multiplicity 2)
P (0.000, 0.000, 0.335) (multiplicity 2)
P (0.500, 0.000, 0.578) (multiplicity 2)

=====

[3]
Material: LiSi2Tc
Method: DFT, SCAN
State: single point on PBEsol structure

Computed properties:
Density of states at the Fermi level ... 0.598 states/eV per atom
Volume ... 50.7 Å³/f.u.
E ... -115.279 eV per cell
ΔE_f (raw) ... -0.0396 eV/atom
Offset from the most stable computed form ... 0.166 eV per atom

Lattice parameters (Å, degrees): 5.107 7.327 2.707 90.00 90.00 90.00
Space group Cmmm (No. 65)
Unique sites:
Li (0.000, 0.000, 0.000) (multiplicity 2)
Si (0.250, 0.250, 0.500) (multiplicity 4)
Tc (0.000, 0.500, 0.000) (multiplicity 2)

=====

[4]
Material: ZrMoIr3
Method: DFT, SCAN
State: single point on PBEsol structure

Computed properties:
Formation energy ... 4.97 eV per formula unit
Density of states at the Fermi level ... 0.809 states/eV per atom
Volume ... 99.6 Å³/f.u.
E ... -273.912 eV per cell

Lattice parameters (Å, degrees): 4.635 4.635 4.635 90.00 90.00 90.00
Space group Pm-3m (No. 221)
Unique sites:
Zr (0.000, 0.000, 0.000) (multiplicity 1)
Mo (0.500, 0.500, 0.500) (multiplicity 1)
Ir (0.000, 0.500, 0.500) (multiplicity 3)

=====

[5]
Material: HfRhSCl2
Method: DFT, SCAN
State: single point on PBEsol structure

Computed properties:
Density of states at the Fermi level ... 0.652 states/eV per atom
Volume ... 113.0 Å³/f.u.
E ... -124.281 eV per cell
ΔE_f (raw) ... -0.4506 eV/atom

Lattice parameters (Å, degrees): 4.808 4.808 4.886 90.00 90.00 90.00
Space group P4/mmm (No. 123)
Unique sites:
Hf (0.000, 0.000, 0.000) (multiplicity 1)
Rh (0.500, 0.500, 0.500) (multiplicity 1)
S (0.000, 0.000, 0.500) (multiplicity 1)
Cl (0.000, 0.500, 0.000) (multiplicity 2)

=====

[6]
Material: MgBeSb2
Method: DFT, SCAN
State: single point on PBEsol structure

Computed properties:
Density of states at the Fermi level ... 0.611 states/eV per atom
Volume ... 105.4 Å³/f.u.
E ... -332.766 eV per cell
ΔE_f (raw) ... 0.1643 eV/atom
Offset from the most stable computed form ... 0.091 eV per atom

Lattice parameters (Å, degrees): 6.395 6.395 10.304 90.00 90.00 90.00
Space group I-42d (No. 122)
Unique sites:
Mg (0.000, 0.000, 0.000) (multiplicity 4)
Be (0.000, 0.000, 0.500) (multiplicity 4)
Sb (0.191, 0.750, 0.625) (multiplicity 8)

=====

Q: The lowest volume belongs to which entry?
A: LiSi2Tc